Sc3Al2Pt6, relaxed, DFT PBE; E_form = -1.03 eV per atom
1.0
-4.662 4.662 4.662
4.662 -4.662 4.662
4.662 4.662 -4.662
Sc Al Pt
6 4 12
Cartesian
2.865 0.000 0.000 Sc
6.458 0.000 0.000 Sc
0.000 2.865 0.000 Sc
0.000 0.000 2.865 Sc
0.000 6.458 0.000 Sc
0.000 0.000 6.458 Sc
2.331 2.331 -2.331 Al
2.331 -2.331 2.331 Al
-2.331 2.331 2.331 Al
2.331 2.331 2.331 Al
4.662 1.663 -1.663 Pt
4.662 -1.663 1.663 Pt
1.663 4.662 -1.663 Pt
2.999 2.999 0.000 Pt
2.999 0.000 2.999 Pt
1.663 -1.663 4.662 Pt
4.662 1.663 1.663 Pt
0.000 2.999 2.999 Pt
-1.663 4.662 1.663 Pt
-1.663 1.663 4.662 Pt
1.663 4.662 1.663 Pt
1.663 1.663 4.662 Pt